(1)
Below is a geometry-optimized AlSiAgSe4 structure, with properties calculated at the PBE level.

**Formation energy without anion corrections**: -0.53 eV/atom
**Size of the total moment**: 0.00 μB/cell
**Crystal system**: tetragonal
**D(E_F)**: 0.00 states/eV/cell
**Theoretical density**: 4.33 g/cm3

```
data_AlSiAgSe4
_chemical_formula_sum 'Al1 Si1 Ag1 Se4'
_space_group_name_H-M_alt 'P 1'
_space_group_IT_number 1
_space_group_name_Hall 'P 1'
_cell_length_a 6.623
_cell_length_b 6.623
_cell_length_c 6.623
_cell_angle_alpha 126.04
_cell_angle_beta 126.04
_cell_angle_gamma 79.83
loop_
_atom_site_label
_atom_site_type_symbol
_atom_site_fract_x
_atom_site_fract_y
_atom_site_fract_z
_atom_site_occupancy
Al1 Al 0.000 0.000 0.000 1
Si1 Si 0.750 0.250 0.500 1
Ag1 Ag 0.500 0.500 0.000 1
Se1 Se 0.081 0.615 0.973 1
Se2 Se 0.385 0.358 0.466 1
Se3 Se 0.642 0.108 0.027 1
Se4 Se 0.892 0.919 0.534 1
```

***

(2)
Below is a geometry-optimized AlCo2P structure, with properties calculated at the PBE level.

**Size of the total moment**: 0.49 μB/cell
**Formation enthalpy at 0 K**: -0.275 eV/atom
**Crystal system**: monoclinic
**D(E_F)**: 3.31 states/eV/cell
**Theoretical density**: 6.37 g/cm3

```
data_AlCo2P
_chemical_formula_sum 'Al1 Co2 P1'
_space_group_name_H-M_alt 'P 1'
_space_group_IT_number 1
_space_group_name_Hall 'P 1'
_cell_length_a 3.998
_cell_length_b 2.751
_cell_length_c 4.535
_cell_angle_alpha 90.00
_cell_angle_beta 113.23
_cell_angle_gamma 90.00
loop_
_atom_site_label
_atom_site_type_symbol
_atom_site_fract_x
_atom_site_fract_y
_atom_site_fract_z
_atom_site_occupancy
Al1 Al 0.000 0.000 0.000 1
Co1 Co 0.500 0.000 0.500 1
Co2 Co 0.500 0.500 0.000 1
P1 P 0.000 0.500 0.500 1
```

***

(3)
Below is a geometry-optimized LuPaPd2 structure, with properties calculated at the PBE level.

**Size of the total moment**: 0.76 μB/cell
**Formation enthalpy at 0 K**: -0.592 eV/atom
**Crystal system**: cubic
**D(E_F)**: 5.99 states/eV/cell
**Theoretical density**: 12.07 g/cm3

```
data_LuPaPd2
_chemical_formula_sum 'Lu1 Pa1 Pd2'
_space_group_name_H-M_alt 'P 1'
_space_group_IT_number 1
_space_group_name_Hall 'P 1'
_cell_length_a 4.937
_cell_length_b 4.937
_cell_length_c 4.937
_cell_angle_alpha 60.00
_cell_angle_beta 60.00
_cell_angle_gamma 60.00
loop_
_atom_site_label
_atom_site_type_symbol
_atom_site_fract_x
_atom_site_fract_y
_atom_site_fract_z
_atom_site_occupancy
Lu1 Lu 0.000 0.000 0.000 1
Pa1 Pa 0.500 0.500 0.500 1
Pd1 Pd 0.250 0.250 0.250 1
Pd2 Pd 0.750 0.750 0.750 1
```

***

(4)
Below is a geometry-optimized KTe2Au2 structure, with properties calculated at the PBE level.

**Formation energy without anion corrections**: -0.31 eV/atom
**Size of the total moment**: 0.00 μB/cell
**Crystal system**: tetragonal
**D(E_F)**: 3.27 states/eV/cell
**Theoretical density**: 7.78 g/cm3

```
data_KTe2Au2
_chemical_formula_sum 'K1 Te2 Au2'
_space_group_name_H-M_alt 'P 1'
_space_group_IT_number 1
_space_group_name_Hall 'P 1'
_cell_length_a 7.756
_cell_length_b 7.756
_cell_length_c 7.756
_cell_angle_alpha 145.79
_cell_angle_beta 145.79
_cell_angle_gamma 49.16
loop_
_atom_site_label
_atom_site_type_symbol
_atom_site_fract_x
_atom_site_fract_y
_atom_site_fract_z
_atom_site_occupancy
K1 K 0.000 0.000 0.000 1
Te1 Te 0.370 0.370 0.000 1
Te2 Te 0.630 0.630 0.000 1
Au1 Au 0.250 0.750 0.500 1
Au2 Au 0.750 0.250 0.500 1
```

***

Please write out number 3 again, unchanged.
Below is a geometry-optimized LuPaPd2 structure, with properties calculated at the PBE level.

**Size of the total moment**: 0.76 μB/cell
**Formation enthalpy at 0 K**: -0.592 eV/atom
**Crystal system**: cubic
**D(E_F)**: 5.99 states/eV/cell
**Theoretical density**: 12.07 g/cm3

```
data_LuPaPd2
_chemical_formula_sum 'Lu1 Pa1 Pd2'
_space_group_name_H-M_alt 'P 1'
_space_group_IT_number 1
_space_group_name_Hall 'P 1'
_cell_length_a 4.937
_cell_length_b 4.937
_cell_length_c 4.937
_cell_angle_alpha 60.00
_cell_angle_beta 60.00
_cell_angle_gamma 60.00
loop_
_atom_site_label
_atom_site_type_symbol
_atom_site_fract_x
_atom_site_fract_y
_atom_site_fract_z
_atom_site_occupancy
Lu1 Lu 0.000 0.000 0.000 1
Pa1 Pa 0.500 0.500 0.500 1
Pd1 Pd 0.250 0.250 0.250 1
Pd2 Pd 0.750 0.750 0.750 1
```

***

- Which value of theoretical density does entry 3 give?
  12.07 g/cm3

***

- Look up the theoretical density of the third one.
  12.07 g/cm3